1 | HPtSeBr2 | GGA-PBE | relaxed Values from VASP.

Structure (Quantum ESPRESSO input):
```
&SYSTEM
  ibrav = 0, nat = 5, ntyp = 4
/
ATOMIC_SPECIES
H 1.01 H.upf
Pt 195.08 Pt.upf
Se 78.96 Se.upf
Br 79.90 Br.upf
CELL_PARAMETERS angstrom
5.231 0.000 0.000
0.000 5.231 0.000
0.000 0.000 3.366
ATOMIC_POSITIONS crystal
H 0.000 0.000 0.000
Pt 0.500 0.500 0.500
Se 0.000 0.000 0.500
Br 0.000 0.500 0.000
Br 0.500 0.000 0.000
```

Output
* crystal system: tetragonal
* V: 92.1 Å³ per cell

***

2 | HPtSeBr2 | GGA-PBE | relaxed Values from VASP.

Structure (Quantum ESPRESSO input):
```
&SYSTEM
  ibrav = 0, nat = 5, ntyp = 4
/
ATOMIC_SPECIES
H 1.01 H.upf
Pt 195.08 Pt.upf
Se 78.96 Se.upf
Br 79.90 Br.upf
CELL_PARAMETERS angstrom
5.339 0.000 0.000
0.000 5.339 0.000
0.000 0.000 4.741
ATOMIC_POSITIONS crystal
H 0.000 0.000 0.000
Pt 0.500 0.500 0.500
Se 0.500 0.500 0.000
Br 0.000 0.500 0.500
Br 0.500 0.000 0.500
```

Output
* crystal system: tetragonal
* V: 135.2 Å³ per cell

***

Stability, highest: 2

***

1 | PuH2Br | GGA-PBE | relaxed Values from VASP.

Structure (Quantum ESPRESSO input):
```
&SYSTEM
  ibrav = 0, nat = 4, ntyp = 3
/
ATOMIC_SPECIES
Pu 244.00 Pu.upf
H 1.01 H.upf
Br 79.90 Br.upf
CELL_PARAMETERS angstrom
1.894 1.094 4.798
-1.894 1.094 4.798
0.000 -2.187 4.798
ATOMIC_POSITIONS crystal
Pu 0.000 0.000 0.000
H 0.305 0.305 0.305
H 0.695 0.695 0.695
Br 0.500 0.500 0.500
```

Output
* crystal system: trigonal
* V: 59.6 Å³ per cell

***

2 | PuH2Br | GGA-PBE | relaxed Values from VASP.

Structure (Quantum ESPRESSO input):
```
&SYSTEM
  ibrav = 0, nat = 4, ntyp = 3
/
ATOMIC_SPECIES
Pu 244.00 Pu.upf
H 1.01 H.upf
Br 79.90 Br.upf
CELL_PARAMETERS angstrom
3.225 0.000 0.000
0.000 3.225 0.000
0.000 0.000 5.687
ATOMIC_POSITIONS crystal
Pu 0.000 0.000 0.000
H 0.500 0.500 0.157
H 0.500 0.500 0.843
Br 0.000 0.000 0.500
```

Output
* crystal system: tetragonal
* V: 59.2 Å³ per cell

***

3 | PuH2Br | GGA-PBE | relaxed Values from VASP.

Structure (Quantum ESPRESSO input):
```
&SYSTEM
  ibrav = 0, nat = 8, ntyp = 3
/
ATOMIC_SPECIES
Pu 244.00 Pu.upf
H 1.01 H.upf
Br 79.90 Br.upf
CELL_PARAMETERS angstrom
3.801 0.000 0.000
0.000 5.790 0.000
0.000 0.000 5.449
ATOMIC_POSITIONS crystal
Pu 0.250 0.250 0.151
Pu 0.750 0.750 0.849
H 0.250 0.553 0.906
H 0.250 0.947 0.906
H 0.750 0.053 0.094
H 0.750 0.447 0.094
Br 0.250 0.750 0.399
Br 0.750 0.250 0.601
```

Output
* crystal system: orthorhombic
* V: 119.9 Å³ per cell

***

Stability, highest: 3

***

1 | RbHBr | GGA-PBE | relaxed Values from VASP.

Structure (Quantum ESPRESSO input):
```
&SYSTEM
  ibrav = 0, nat = 24, ntyp = 3
/
ATOMIC_SPECIES
Rb 85.47 Rb.upf
H 1.01 H.upf
Br 79.90 Br.upf
CELL_PARAMETERS angstrom
4.907 0.000 0.000
0.000 4.907 0.000
0.000 0.000 30.253
ATOMIC_POSITIONS crystal
Rb 0.245 0.248 0.188
Rb 0.245 0.752 0.312
Rb 0.248 0.245 0.562
Rb 0.248 0.755 0.938
Rb 0.752 0.245 0.438
Rb 0.752 0.755 0.062
Rb 0.755 0.248 0.812
Rb 0.755 0.752 0.688
H 0.163 0.238 0.884
H 0.163 0.762 0.616
H 0.238 0.163 0.866
H 0.238 0.837 0.634
H 0.762 0.163 0.134
H 0.762 0.837 0.366
H 0.837 0.238 0.116
H 0.837 0.762 0.384
Br 0.258 0.262 0.058
Br 0.258 0.738 0.442
Br 0.262 0.258 0.692
Br 0.262 0.742 0.808
Br 0.738 0.258 0.308
Br 0.738 0.742 0.192
Br 0.742 0.262 0.942
Br 0.742 0.738 0.558
```

Output
* crystal system: tetragonal
* V: 728.5 Å³ per cell

***

2 | RbHBr | GGA-PBE | relaxed Values from VASP.

Structure (Quantum ESPRESSO input):
```
&SYSTEM
  ibrav = 0, nat = 6, ntyp = 3
/
ATOMIC_SPECIES
Rb 85.47 Rb.upf
H 1.01 H.upf
Br 79.90 Br.upf
CELL_PARAMETERS angstrom
4.873 0.000 0.000
2.417 6.030 0.000
2.428 -0.107 6.031
ATOMIC_POSITIONS crystal
Rb 0.000 0.000 0.000
Rb 0.027 0.474 0.474
H 0.682 0.775 0.857
H 0.682 0.863 0.769
Br 0.349 0.405 0.899
Br 0.349 0.899 0.404
```

Output
* crystal system: triclinic
* V: 177.2 Å³ per cell

***

Stability, highest: 2

***

1 | RbHBr2 | GGA-PBE | relaxed Values from VASP.

Structure (Quantum ESPRESSO input):
```
&SYSTEM
  ibrav = 0, nat = 4, ntyp = 3
/
ATOMIC_SPECIES
Rb 85.47 Rb.upf
H 1.01 H.upf
Br 79.90 Br.upf
CELL_PARAMETERS angstrom
2.728 1.575 6.484
-2.728 1.575 6.484
0.000 -3.150 6.484
ATOMIC_POSITIONS crystal
Rb 0.000 0.000 0.000
H 0.500 0.500 0.500
Br 0.412 0.412 0.412
Br 0.588 0.588 0.588
```

Output
* crystal system: trigonal
* V: 167.2 Å³ per cell

***

2 | RbHBr2 | GGA-PBE | relaxed Values from VASP.

Structure (Quantum ESPRESSO input):
```
&SYSTEM
  ibrav = 0, nat = 16, ntyp = 3
/
ATOMIC_SPECIES
Rb 85.47 Rb.upf
H 1.01 H.upf
Br 79.90 Br.upf
CELL_PARAMETERS angstrom
6.783 0.000 0.000
0.000 6.179 0.000
-2.938 0.000 16.567
ATOMIC_POSITIONS crystal
Rb 0.182 0.234 0.124
Rb 0.182 0.766 0.624
Rb 0.818 0.234 0.376
Rb 0.818 0.766 0.876
H 0.196 0.074 0.872
H 0.196 0.926 0.372
H 0.804 0.074 0.628
H 0.804 0.926 0.128
Br 0.063 0.265 0.915
Br 0.063 0.735 0.415
Br 0.307 0.141 0.333
Br 0.307 0.859 0.833
Br 0.693 0.141 0.167
Br 0.693 0.859 0.667
Br 0.937 0.265 0.585
Br 0.937 0.735 0.085
```

Output
* crystal system: monoclinic
* V: 694.4 Å³ per cell

***

Stability, highest: 1

***

1 | RbHBr2 | GGA-PBE | relaxed Values from VASP.

Structure (Quantum ESPRESSO input):
```
&SYSTEM
  ibrav = 0, nat = 4, ntyp = 3
/
ATOMIC_SPECIES
Rb 85.47 Rb.upf
H 1.01 H.upf
Br 79.90 Br.upf
CELL_PARAMETERS angstrom
2.021 1.167 8.804
-2.021 1.167 8.804
0.000 -2.334 8.804
ATOMIC_POSITIONS crystal
Rb 0.000 0.000 0.000
H 0.500 0.500 0.500
Br 0.117 0.117 0.117
Br 0.883 0.883 0.883
```

Output
* crystal system: trigonal
* V: 124.6 Å³ per cell

***

2 | RbHBr2 | GGA-PBE | relaxed Values from VASP.

Structure (Quantum ESPRESSO input):
```
&SYSTEM
  ibrav = 0, nat = 8, ntyp = 3
/
ATOMIC_SPECIES
Rb 85.47 Rb.upf
H 1.01 H.upf
Br 79.90 Br.upf
CELL_PARAMETERS angstrom
5.439 0.000 0.000
-2.720 4.710 0.000
0.000 0.000 13.036
ATOMIC_POSITIONS crystal
Rb 0.000 0.000 0.000
Rb 0.000 0.000 0.500
H 0.333 0.667 0.250
H 0.667 0.333 0.750
Br 0.333 0.667 0.119
Br 0.333 0.667 0.381
Br 0.667 0.333 0.619
Br 0.667 0.333 0.881
```

Output
* crystal system: hexagonal
* V: 334.0 Å³ per cell

***

3 | RbHBr2 | GGA-PBE | relaxed Values from VASP.

Structure (Quantum ESPRESSO input):
```
&SYSTEM
  ibrav = 0, nat = 8, ntyp = 3
/
ATOMIC_SPECIES
Rb 85.47 Rb.upf
H 1.01 H.upf
Br 79.90 Br.upf
CELL_PARAMETERS angstrom
-3.517 3.517 4.426
3.517 -3.517 4.426
3.517 3.517 -4.426
ATOMIC_POSITIONS crystal
Rb 0.000 0.000 0.000
Rb 0.750 0.250 0.500
H 0.250 0.750 0.500
H 0.500 0.500 0.000
Br 0.272 0.625 0.147
Br 0.375 0.522 0.647
Br 0.478 0.125 0.853
Br 0.875 0.728 0.353
```

Output
* crystal system: tetragonal
* V: 218.9 Å³ per cell

***

Stability, highest: 2

***

1 | Rb2H2Br | GGA-PBE | relaxed Values from VASP.

Structure (Quantum ESPRESSO input):
```
&SYSTEM
  ibrav = 0, nat = 10, ntyp = 3
/
ATOMIC_SPECIES
Rb 85.47 Rb.upf
H 1.01 H.upf
Br 79.90 Br.upf
CELL_PARAMETERS angstrom
8.438 0.000 0.000
0.000 8.438 0.000
0.000 0.000 4.512
ATOMIC_POSITIONS crystal
Rb 0.207 0.293 0.000
Rb 0.293 0.793 0.000
Rb 0.707 0.207 0.000
Rb 0.793 0.707 0.000
H 0.032 0.532 0.500
H 0.468 0.032 0.500
H 0.532 0.968 0.500
H 0.968 0.468 0.500
Br 0.000 0.000 0.500
Br 0.500 0.500 0.500
```

Output
* crystal system: tetragonal
* V: 321.2 Å³ per cell

***

2 | Rb2H2Br | GGA-PBE | relaxed Values from VASP.

Structure (Quantum ESPRESSO input):
```
&SYSTEM
  ibrav = 0, nat = 10, ntyp = 3
/
ATOMIC_SPECIES
Rb 85.47 Rb.upf
H 1.01 H.upf
Br 79.90 Br.upf
CELL_PARAMETERS angstrom
9.320 0.000 0.000
0.000 9.320 0.000
0.000 0.000 6.697
ATOMIC_POSITIONS crystal
Rb 0.204 0.296 0.000
Rb 0.296 0.796 0.000
Rb 0.704 0.204 0.000
Rb 0.796 0.704 0.000
H 0.029 0.529 0.500
H 0.471 0.029 0.500
H 0.529 0.971 0.500
H 0.971 0.471 0.500
Br 0.000 0.000 0.000
Br 0.500 0.500 0.000
```

Output
* crystal system: tetragonal
* V: 581.7 Å³ per cell

***

3 | Rb2H2Br | GGA-PBE | relaxed Values from VASP.

Structure (Quantum ESPRESSO input):
```
&SYSTEM
  ibrav = 0, nat = 5, ntyp = 3
/
ATOMIC_SPECIES
Rb 85.47 Rb.upf
H 1.01 H.upf
Br 79.90 Br.upf
CELL_PARAMETERS angstrom
4.306 -2.622 0.000
4.306 2.622 0.000
-1.715 0.000 8.528
ATOMIC_POSITIONS crystal
Rb 0.208 0.208 0.232
Rb 0.792 0.792 0.768
H 0.074 0.926 0.500
H 0.926 0.074 0.500
Br 0.500 0.500 0.000
```

Output
* crystal system: monoclinic
* V: 192.6 Å³ per cell

***

4 | Rb2H2Br | GGA-PBE | relaxed Values from VASP.

Structure (Quantum ESPRESSO input):
```
&SYSTEM
  ibrav = 0, nat = 5, ntyp = 3
/
ATOMIC_SPECIES
Rb 85.47 Rb.upf
H 1.01 H.upf
Br 79.90 Br.upf
CELL_PARAMETERS angstrom
4.378 -2.645 0.000
4.378 2.645 0.000
-1.432 0.000 8.227
ATOMIC_POSITIONS crystal
Rb 0.200 0.200 0.232
Rb 0.800 0.800 0.768
H 0.427 0.573 0.500
H 0.573 0.427 0.500
Br 0.500 0.500 0.000
```

Output
* crystal system: monoclinic
* V: 190.5 Å³ per cell

***

Stability, highest: 4

***

1 | Re2HBr | GGA-PBE | relaxed Values from VASP.

Structure (Quantum ESPRESSO input):
```
&SYSTEM
  ibrav = 0, nat = 8, ntyp = 3
/
ATOMIC_SPECIES
Re 186.21 Re.upf
H 1.01 H.upf
Br 79.90 Br.upf
CELL_PARAMETERS angstrom
-2.498 2.498 4.545
2.498 -2.498 4.545
2.498 2.498 -4.545
ATOMIC_POSITIONS crystal
Re 0.375 0.240 0.365
Re 0.760 0.125 0.135
Re 0.875 0.010 0.635
Re 0.990 0.625 0.865
H 0.000 0.000 0.000
H 0.750 0.250 0.500
Br 0.250 0.750 0.500
Br 0.500 0.500 0.000
```

Output
* crystal system: tetragonal
* V: 113.4 Å³ per cell

***

2 | Re2HBr | GGA-PBE | relaxed Values from VASP.

Structure (Quantum ESPRESSO input):
```
&SYSTEM
  ibrav = 0, nat = 4, ntyp = 3
/
ATOMIC_SPECIES
Re 186.21 Re.upf
H 1.01 H.upf
Br 79.90 Br.upf
CELL_PARAMETERS angstrom
0.000 2.959 2.959
2.959 0.000 2.959
2.959 2.959 0.000
ATOMIC_POSITIONS crystal
Re 0.250 0.250 0.250
Re 0.750 0.750 0.750
H 0.000 0.000 0.000
Br 0.500 0.500 0.500
```

Output
* crystal system: cubic
* V: 51.8 Å³ per cell

***

Stability, highest: 1

***

1 | ReHBr2 | GGA-PBE | relaxed Values from VASP.

Structure (Quantum ESPRESSO input):
```
&SYSTEM
  ibrav = 0, nat = 8, ntyp = 3
/
ATOMIC_SPECIES
Re 186.21 Re.upf
H 1.01 H.upf
Br 79.90 Br.upf
CELL_PARAMETERS angstrom
-2.712 2.712 4.895
2.712 -2.712 4.895
2.712 2.712 -4.895
ATOMIC_POSITIONS crystal
Re 0.000 0.000 0.000
Re 0.750 0.250 0.500
H 0.250 0.750 0.500
H 0.500 0.500 0.000
Br 0.172 0.625 0.047
Br 0.375 0.422 0.547
Br 0.578 0.125 0.953
Br 0.875 0.828 0.453
```

Output
* crystal system: tetragonal
* V: 144.0 Å³ per cell

***

2 | ReHBr2 | GGA-PBE | relaxed Values from VASP.

Structure (Quantum ESPRESSO input):
```
&SYSTEM
  ibrav = 0, nat = 4, ntyp = 3
/
ATOMIC_SPECIES
Re 186.21 Re.upf
H 1.01 H.upf
Br 79.90 Br.upf
CELL_PARAMETERS angstrom
1.575 0.909 7.610
-1.575 0.909 7.610
0.000 -1.819 7.610
ATOMIC_POSITIONS crystal
Re 0.000 0.000 0.000
H 0.500 0.500 0.500
Br 0.104 0.104 0.104
Br 0.896 0.896 0.896
```

Output
* crystal system: trigonal
* V: 65.4 Å³ per cell

***

3 | ReHBr2 | GGA-PBE | relaxed Values from VASP.

Structure (Quantum ESPRESSO input):
```
&SYSTEM
  ibrav = 0, nat = 4, ntyp = 3
/
ATOMIC_SPECIES
Re 186.21 Re.upf
H 1.01 H.upf
Br 79.90 Br.upf
CELL_PARAMETERS angstrom
0.000 3.118 3.118
3.118 0.000 3.118
3.118 3.118 0.000
ATOMIC_POSITIONS crystal
Re 0.000 0.000 0.000
H 0.500 0.500 0.500
Br 0.250 0.250 0.250
Br 0.750 0.750 0.750
```

Output
* crystal system: cubic
* V: 60.6 Å³ per cell

***

Stability, highest: 2

***

1 | ReHBr3 | GGA-PBE | relaxed Values from VASP.

Structure (Quantum ESPRESSO input):
```
&SYSTEM
  ibrav = 0, nat = 5, ntyp = 3
/
ATOMIC_SPECIES
Re 186.21 Re.upf
H 1.01 H.upf
Br 79.90 Br.upf
CELL_PARAMETERS angstrom
5.186 0.000 0.000
0.000 5.186 0.000
0.000 0.000 5.186
ATOMIC_POSITIONS crystal
Re 0.000 0.000 0.000
H 0.500 0.500 0.500
Br 0.000 0.000 0.500
Br 0.000 0.500 0.000
Br 0.500 0.000 0.000
```

Output
* crystal system: cubic
* V: 139.5 Å³ per cell

***

2 | ReHBr3 | GGA-PBE | relaxed Values from VASP.

Structure (Quantum ESPRESSO input):
```
&SYSTEM
  ibrav = 0, nat = 5, ntyp = 3
/
ATOMIC_SPECIES
Re 186.21 Re.upf
H 1.01 H.upf
Br 79.90 Br.upf
CELL_PARAMETERS angstrom
4.706 0.000 0.000
0.000 4.706 0.000
0.000 0.000 4.706
ATOMIC_POSITIONS crystal
Re 0.000 0.000 0.000
H 0.500 0.500 0.500
Br 0.000 0.500 0.500
Br 0.500 0.000 0.500
Br 0.500 0.500 0.000
```

Output
* crystal system: cubic
* V: 104.2 Å³ per cell

***

Stability, highest: 1

***

1 | ReH3Br | GGA-PBE | relaxed Values from VASP.

Structure (Quantum ESPRESSO input):
```
&SYSTEM
  ibrav = 0, nat = 5, ntyp = 3
/
ATOMIC_SPECIES
Re 186.21 Re.upf
H 1.01 H.upf
Br 79.90 Br.upf
CELL_PARAMETERS angstrom
3.664 0.000 0.000
0.000 3.664 0.000
0.000 0.000 3.664
ATOMIC_POSITIONS crystal
Re 0.000 0.000 0.000
H 0.000 0.000 0.500
H 0.000 0.500 0.000
H 0.500 0.000 0.000
Br 0.500 0.500 0.500
```

Output
* crystal system: cubic
* V: 49.2 Å³ per cell

***

2 | ReH3Br | GGA-PBE | relaxed Values from VASP.

Structure (Quantum ESPRESSO input):
```
&SYSTEM
  ibrav = 0, nat = 5, ntyp = 3
/
ATOMIC_SPECIES
Re 186.21 Re.upf
H 1.01 H.upf
Br 79.90 Br.upf
CELL_PARAMETERS angstrom
3.883 0.000 0.000
0.000 3.883 0.000
0.000 0.000 3.883
ATOMIC_POSITIONS crystal
Re 0.000 0.000 0.000
H 0.000 0.500 0.500
H 0.500 0.000 0.500
H 0.500 0.500 0.000
Br 0.500 0.500 0.500
```

Output
* crystal system: cubic
* V: 58.5 Å³ per cell

***

Stability, highest: 1